Tb7PmSc3 | GGA-PBE | optimized geometry Values from VASP.

Geometry as Quantum ESPRESSO input:
```
&SYSTEM
  ibrav = 0, nat = 22, ntyp = 3
/
ATOMIC_SPECIES
Tb 158.93 Tb.upf
Pm 145.00 Pm.upf
Sc 44.96 Sc.upf
CELL_PARAMETERS angstrom
-6.9741 2.9554 6.0023
5.5608 -7.7572 -1.5177
6.1808 -0.7885 11.4261
ATOMIC_POSITIONS crystal
Tb 0.0940 0.9110 0.2504
Tb 0.0890 0.9060 0.7496
Tb 0.1223 0.4489 0.4624
Tb 0.1227 0.4492 0.9630
Tb 0.5508 0.8773 0.0370
Tb 0.5511 0.8777 0.5376
Tb 0.4954 0.4954 0.7506
Tb 0.5046 0.5046 0.2494
Tb 0.4492 0.1227 0.9630
Tb 0.4489 0.1223 0.4624
Tb 0.8773 0.5508 0.0370
Tb 0.8777 0.5511 0.5376
Tb 0.9110 0.0940 0.2504
Tb 0.9060 0.0890 0.7496
Pm 0.5000 0.5000 0.0000
Pm 0.5000 0.5000 0.5000
Sc 0.0000 0.4983 0.7502
Sc 0.0000 0.0000 0.0000
Sc 0.0000 0.0000 0.5000
Sc 0.5017 0.0000 0.2498
Sc 0.4983 0.0000 0.7502
Sc 0.0000 0.5017 0.2498
```

## Properties
The raw total energy comes out at -108.904 eV for the cell shown. The crystal system is monoclinic. For the energy above the most stable polymorph in this dataset, the calculation gives 0.0 meV per atom. Its mass density is 6.88 Mg/m³. As for the total magnetic moment: 0.00 μB per cell.

***

Ce6PuHg5 | GGA-PBE | optimized geometry Values from VASP.

Geometry as Quantum ESPRESSO input:
```
&SYSTEM
  ibrav = 0, nat = 12, ntyp = 3
/
ATOMIC_SPECIES
Hg 200.59 Hg.upf
Ce 140.12 Ce.upf
Pu 244.00 Pu.upf
CELL_PARAMETERS angstrom
-1.1146 -1.1869 5.3170
6.1766 3.0208 1.9695
-1.1306 8.1229 4.0683
ATOMIC_POSITIONS crystal
Hg 0.5838 0.1640 0.6719
Hg 0.4156 0.3309 0.3383
Hg 0.0000 0.5000 0.0000
Hg 0.5844 0.6691 0.6617
Hg 0.4162 0.8360 0.3281
Ce 0.9060 0.5746 0.3468
Ce 0.9060 0.0786 0.3468
Ce 0.5000 0.7467 0.0000
Ce 0.5000 0.2533 0.0000
Ce 0.0940 0.9214 0.6532
Ce 0.0940 0.4254 0.6532
Pu 0.0000 0.0000 0.0000
```

## Properties
The raw total energy comes out at -54.284 eV for the cell shown. The crystal system is monoclinic. Its mass density is 10.78 Mg/m³. As for the total magnetic moment: 13.41 μB per cell.

***

Sm4AlGa12 | GGA-PBE | optimized geometry Values from VASP.

Geometry as Quantum ESPRESSO input:
```
&SYSTEM
  ibrav = 0, nat = 17, ntyp = 3
/
ATOMIC_SPECIES
Sm 150.36 Sm.upf
Al 26.98 Al.upf
Ga 69.72 Ga.upf
CELL_PARAMETERS angstrom
7.2084 0.0000 -2.5486
-3.6042 6.2427 -2.5486
0.0000 0.0000 7.6457
ATOMIC_POSITIONS crystal
Sm 0.0000 0.0000 0.5000
Sm 0.5000 0.0000 0.0000
Sm 0.5000 0.5000 0.5000
Sm 0.0000 0.5000 0.0000
Al 0.0000 0.0000 0.0000
Ga 0.0000 0.3068 0.3068
Ga 0.0000 0.6932 0.6932
Ga 0.6932 0.6932 0.0000
Ga 0.3068 0.3068 0.0000
Ga 0.3068 0.0000 0.3068
Ga 0.6932 0.0000 0.6932
Ga 0.5000 0.2500 0.7500
Ga 0.5000 0.7500 0.2500
Ga 0.7500 0.2500 0.5000
Ga 0.2500 0.7500 0.5000
Ga 0.7500 0.5000 0.2500
Ga 0.2500 0.5000 0.7500
```

## Properties
The raw total energy comes out at -67.590 eV for the cell shown. The crystal system is cubic. Its mass density is 7.07 Mg/m³. As for the total magnetic moment: 0.00 μB per cell.

***

CeGd2Pd | GGA-PBE | optimized geometry Values from VASP.

Geometry as Quantum ESPRESSO input:
```
&SYSTEM
  ibrav = 0, nat = 4, ntyp = 3
/
ATOMIC_SPECIES
Gd 157.25 Gd.upf
Pd 106.42 Pd.upf
Ce 140.12 Ce.upf
CELL_PARAMETERS angstrom
3.5879 0.0000 0.0000
0.0000 5.3087 0.0000
0.0000 0.0000 5.3087
ATOMIC_POSITIONS crystal
Gd 0.0000 0.0000 0.5000
Gd 0.0000 0.5000 0.0000
Pd 0.5000 0.0000 0.0000
Ce 0.5000 0.5000 0.5000
```

## Properties
The raw total energy comes out at -39.990 eV for the cell shown. The crystal system is tetragonal. For the energy above the most stable polymorph in this dataset, the calculation gives 165.4 meV per atom. Its mass density is 9.21 Mg/m³. As for the total magnetic moment: 15.62 μB per cell.

***

Ga4AgAu | GGA-PBE | optimized geometry Values from VASP.

Geometry as Quantum ESPRESSO input:
```
&SYSTEM
  ibrav = 0, nat = 6, ntyp = 3
/
ATOMIC_SPECIES
Ga 69.72 Ga.upf
Ag 107.87 Ag.upf
Au 196.97 Au.upf
CELL_PARAMETERS angstrom
-3.7505 1.8845 1.6981
-2.4014 -1.6578 -3.4626
-1.0671 -4.9043 3.0871
ATOMIC_POSITIONS crystal
Ga 0.5013 0.9971 0.2477
Ga 0.5013 0.9974 0.7486
Ga 0.0014 0.4973 0.7486
Ga 0.0012 0.4972 0.2477
Ag 0.0013 0.9973 0.4981
Au 0.5013 0.4973 0.9981
```

## Properties
The raw total energy comes out at -18.842 eV for the cell shown. The crystal system is tetragonal. For the energy above the most stable polymorph in this dataset, the calculation gives 0.0 meV per atom. Its mass density is 8.02 Mg/m³. As for the total magnetic moment: 0.00 μB per cell.

***

RbCuS2N | GGA-PBE | optimized geometry Values from VASP.

Geometry as Quantum ESPRESSO input:
```
&SYSTEM
  ibrav = 0, nat = 5, ntyp = 4
/
ATOMIC_SPECIES
S 32.06 S.upf
Cu 63.55 Cu.upf
Rb 85.47 Rb.upf
N 14.01 N.upf
CELL_PARAMETERS angstrom
5.9040 0.0000 0.0000
0.0000 5.9040 0.0000
0.0000 0.0000 5.2602
ATOMIC_POSITIONS crystal
S 0.0000 0.5000 0.0000
S 0.5000 0.0000 0.0000
Cu 0.5000 0.5000 0.5000
Rb 0.0000 0.0000 0.0000
N 0.0000 0.0000 0.5000
```

## Properties
The raw total energy comes out at -11.420 eV for the cell shown. The crystal system is tetragonal. As for the energy relative to the elements, uncorrected: 2.0449 eV/atom. For the energy above the most stable polymorph in this dataset, the calculation gives 1404.5 meV per atom. Its mass density is 2.06 Mg/m³. As for the total magnetic moment: 0.94 μB per cell.

***

ZnSbIr2 | GGA-PBE | optimized geometry Values from VASP.

Geometry as Quantum ESPRESSO input:
```
&SYSTEM
  ibrav = 0, nat = 4, ntyp = 3
/
ATOMIC_SPECIES
Ir 192.22 Ir.upf
Sb 121.76 Sb.upf
Zn 65.41 Zn.upf
CELL_PARAMETERS angstrom
-0.3909 2.9490 -1.8272
-2.0660 1.2793 2.5066
4.4007 2.1507 2.5295
ATOMIC_POSITIONS crystal
Ir 0.0000 0.0000 0.9530
Ir 0.5000 0.5000 0.2798
Sb 0.0000 0.0000 0.4701
Zn 0.5000 0.5000 0.7971
```

## Properties
The raw total energy comes out at -22.577 eV for the cell shown. The crystal system is tetragonal. As for the energy relative to the elements, uncorrected: 0.1353 eV/atom. For the energy above the most stable polymorph in this dataset, the calculation gives 176.8 meV per atom. Its mass density is 14.13 Mg/m³. As for the total magnetic moment: 0.00 μB per cell.

***

Mg2TlHRh | GGA-PBE | optimized geometry Values from VASP.

Geometry as Quantum ESPRESSO input:
```
&SYSTEM
  ibrav = 0, nat = 5, ntyp = 4
/
ATOMIC_SPECIES
H 1.01 H.upf
Tl 204.38 Tl.upf
Rh 102.91 Rh.upf
Mg 24.30 Mg.upf
CELL_PARAMETERS angstrom
-2.6748 -0.8964 -3.6718
-3.1668 -1.9240 2.7767
-1.6025 3.1961 0.3871
ATOMIC_POSITIONS crystal
H 0.0000 0.0000 0.0000
Tl 0.5000 0.5000 0.5000
Rh 0.0000 0.0000 0.5000
Mg 0.0000 0.5000 0.0000
Mg 0.5000 0.0000 0.0000
```

## Properties
The raw total energy comes out at -17.341 eV for the cell shown. The crystal system is tetragonal. Its mass density is 7.69 Mg/m³. As for the total magnetic moment: 0.00 μB per cell.

***

NdSmSnHg | GGA-PBE | optimized geometry Values from VASP.

Geometry as Quantum ESPRESSO input:
```
&SYSTEM
  ibrav = 0, nat = 4, ntyp = 4
/
ATOMIC_SPECIES
Nd 144.24 Nd.upf
Hg 200.59 Hg.upf
Sm 150.36 Sm.upf
Sn 118.71 Sn.upf
CELL_PARAMETERS angstrom
5.4190 0.0000 0.0000
2.7095 4.6930 0.0000
2.7095 1.5643 4.4246
ATOMIC_POSITIONS crystal
Nd 0.5000 0.5000 0.5000
Hg 0.7500 0.7500 0.7500
Sm 0.0000 0.0000 0.0000
Sn 0.2500 0.2500 0.2500
```

## Properties
The raw total energy comes out at -16.186 eV for the cell shown. The crystal system is cubic. For the energy above the most stable polymorph in this dataset, the calculation gives 0.0 meV per atom. Its mass density is 9.06 Mg/m³. As for the total magnetic moment: 0.00 μB per cell.

***

SrZr2Te | GGA-PBE | optimized geometry Values from VASP.

Geometry as Quantum ESPRESSO input:
```
&SYSTEM
  ibrav = 0, nat = 8, ntyp = 3
/
ATOMIC_SPECIES
Sr 87.62 Sr.upf
Te 127.60 Te.upf
Zr 91.22 Zr.upf
CELL_PARAMETERS angstrom
-4.8248 4.9187 -5.4629
-1.4720 -7.0486 -5.0464
-5.7038 -1.7230 -3.5902
ATOMIC_POSITIONS crystal
Sr 0.5000 0.5000 0.0000
Sr 0.2500 0.7500 0.5000
Te 0.0000 0.0000 0.0000
Te 0.7500 0.2500 0.5000
Zr 0.6847 0.1250 0.2500
Zr 0.0653 0.6250 0.2500
Zr 0.3750 0.3153 0.7500
Zr 0.8750 0.9347 0.7500
```

## Properties
The raw total energy comes out at -42.889 eV for the cell shown. The crystal system is tetragonal. As for the energy relative to the elements, uncorrected: 0.1188 eV/atom. Its mass density is 5.48 Mg/m³. As for the total magnetic moment: 0.00 μB per cell.

***

CdGeAu4 | GGA-PBE | optimized geometry Values from VASP.

Geometry as Quantum ESPRESSO input:
```
&SYSTEM
  ibrav = 0, nat = 6, ntyp = 3
/
ATOMIC_SPECIES
Ge 72.64 Ge.upf
Au 196.97 Au.upf
Cd 112.41 Cd.upf
CELL_PARAMETERS angstrom
5.5562 0.0000 0.0000
2.7781 4.8118 0.0000
2.7781 1.6039 4.5366
ATOMIC_POSITIONS crystal
Ge 0.0000 0.0000 0.0000
Au 0.6249 0.6249 0.1254
Au 0.6249 0.1254 0.6249
Au 0.6249 0.6249 0.6249
Au 0.1254 0.6249 0.6249
Cd 0.2500 0.2500 0.2500
```

## Properties
The raw total energy comes out at -18.074 eV for the cell shown. The crystal system is cubic. For the energy above the most stable polymorph in this dataset, the calculation gives 152.7 meV per atom. Its mass density is 13.32 Mg/m³. As for the total magnetic moment: 0.00 μB per cell.

***

Tm3CoIr8 | GGA-PBE | optimized geometry Values from VASP.

Geometry as Quantum ESPRESSO input:
```
&SYSTEM
  ibrav = 0, nat = 12, ntyp = 3
/
ATOMIC_SPECIES
Tm 168.93 Tm.upf
Co 58.93 Co.upf
Ir 192.22 Ir.upf
CELL_PARAMETERS angstrom
5.0660 0.0000 1.5026
2.3102 4.5086 1.5026
0.0335 0.0205 9.1782
ATOMIC_POSITIONS crystal
Tm 0.6229 0.6229 0.1312
Tm 0.0088 0.0088 0.9736
Tm 0.4931 0.4931 0.5206
Co 0.1436 0.1436 0.5693
Ir 0.5606 0.0616 0.8172
Ir 0.0593 0.5607 0.3208
Ir 0.5606 0.5606 0.8172
Ir 0.0593 0.0593 0.3208
Ir 0.8092 0.8092 0.5725
Ir 0.3104 0.3104 0.0688
Ir 0.0616 0.5606 0.8172
Ir 0.5607 0.0593 0.3208
```

## Properties
The raw total energy comes out at -97.422 eV for the cell shown. The crystal system is trigonal. Its mass density is 16.69 Mg/m³. As for the total magnetic moment: 2.39 μB per cell.